(1)
Below is a geometry-optimized Pr3Y4Er2 structure, with properties calculated at the PBE-GGA level.

Cell lengths 8.069, 8.070, 12.987 Å; angles 115.57, 93.62, 143.22 degrees
Fractional coordinates of all 9 atoms:
1 Pr 0.000 0.000 0.000
2 Pr 0.556 0.109 0.666
3 Pr 0.444 0.891 0.334
4 Y 0.332 0.667 0.000
5 Y 0.885 0.777 0.666
6 Y 0.115 0.223 0.334
7 Y 0.668 0.333 0.000
8 Er 0.223 0.443 0.667
9 Er 0.777 0.557 0.333

Results
Formation energy from the elements ... 0.191 eV per formula unit
SG ... C2/m
Total energy ... -49.1 eV/cell
Distance to the lowest polymorph of the same formula ... 0 meV per atom

(2)
Below is a geometry-optimized Cs2Nb4Se7 structure, with properties calculated at the PBE-GGA level.

Cell lengths 6.829, 6.829, 9.240 Å; angles 90.00, 90.00, 120.00 degrees
Site moments in Bohr magnetons follow the coordinates.
Fractional coordinates of all 13 atoms:
1 Cs 0.333 0.667 0.000  0.00
2 Cs 0.667 0.333 0.000  0.00
3 Se 0.000 0.000 0.000  -0.03
4 Se 0.000 0.357 0.334  -0.03
5 Se 0.000 0.643 0.666  -0.03
6 Se 0.357 0.000 0.334  -0.03
7 Se 0.643 0.643 0.334  -0.03
8 Se 0.357 0.357 0.666  -0.03
9 Se 0.643 0.000 0.666  -0.03
10 Nb 0.000 0.000 0.732  1.17
11 Nb 0.667 0.333 0.500  1.40
12 Nb 0.000 0.000 0.268  1.17
13 Nb 0.333 0.667 0.500  1.40

Results
Raw formation energy ... -0.598 eV/atom
SG ... P-31m
Total energy ... -74.1 eV/cell

(3)
Below is a geometry-optimized Cs2NaInC structure, with properties calculated at the PBE-GGA level.

Cell lengths 7.265, 4.141, 7.265 Å; angles 90.00, 90.00, 90.00 degrees
Fractional coordinates of all 5 atoms:
1 Cs 0.000 0.000 0.500
2 Cs 0.500 0.000 0.000
3 C 0.000 0.000 0.000
4 Na 0.500 0.500 0.500
5 In 0.000 0.500 0.000

Results
Formation energy from the elements ... 3.371 eV per formula unit
SG ... P4/mmm
Total energy ... -11.6 eV/cell

(4)
Below is a geometry-optimized BaAgSnAu2 structure, with properties calculated at the PBE-GGA level.

Cell lengths 4.543, 4.543, 7.079 Å; angles 108.72, 108.72, 90.00 degrees
Fractional coordinates of all 5 atoms:
1 Sn 0.250 0.750 0.500
2 Ba 0.000 0.000 0.000
3 Au 0.389 0.389 0.778
4 Au 0.611 0.611 0.222
5 Ag 0.750 0.250 0.500

Results
Formation energy from the elements ... -2.404 eV per formula unit
SG ... I-4m2
Total energy ... -17.7 eV/cell

(5)
Below is a geometry-optimized TmPaPN structure, with properties calculated at the PBE-GGA level.

Cell lengths 4.078, 4.078, 8.872 Å; angles 90.00, 90.00, 90.00 degrees
Fractional coordinates of all 8 atoms:
1 N 0.500 0.500 0.000
2 N 0.000 0.000 0.000
3 Pa 0.000 0.500 0.874
4 Pa 0.500 0.000 0.126
5 Tm 0.500 0.500 0.500
6 Tm 0.000 0.000 0.500
7 P 0.000 0.500 0.286
8 P 0.500 0.000 0.714

Results
Raw formation energy ... -1.197 eV/atom
SG ... P4/nmm
Total energy ... -65.0 eV/cell

(6)
Below is a geometry-optimized YCuBiAu structure, with properties calculated at the PBE-GGA level.

Cell lengths 5.012, 5.012, 5.012 Å; angles 60.00, 60.00, 60.00 degrees
Fractional coordinates of all 4 atoms:
1 Au 0.000 0.000 0.000
2 Cu 0.500 0.500 0.500
3 Bi 0.250 0.250 0.250
4 Y 0.750 0.750 0.750

Results
Formation energy from the elements ... -1.405 eV per formula unit
SG ... F-43m
Total energy ... -19.1 eV/cell

Which value of total energy does entry 2 give? -74.1 eV/cell

The highest total energy belongs to which entry? Cs2NaInC